No. 1
# TbCo3P2

An optimized crystal structure of TbCo3P2 (PBEsol, the Alexandria database).

extended XYZ file:
```
36
Lattice="3.648 0.000 0.000 0.000 10.393 0.000 0.000 0.000 12.047" Properties=species:S:1:pos:R:3 pbc="T T T"
Tb 0.912 0.699 2.479
Tb 0.912 2.598 5.756
Tb 0.912 4.497 2.479
Tb 2.736 5.895 9.568
Tb 2.736 7.794 6.291
Tb 2.736 9.694 9.568
Co 0.912 1.351 8.551
Co 0.912 2.598 0.169
Co 0.912 3.846 8.551
Co 0.912 5.692 5.184
Co 0.912 6.063 11.988
Co 0.912 7.794 1.909
Co 0.912 7.794 8.475
Co 0.912 9.526 11.988
Co 0.912 9.897 5.184
Co 2.736 0.496 6.862
Co 2.736 0.866 0.059
Co 2.736 2.598 3.572
Co 2.736 2.598 10.138
Co 2.736 4.330 0.059
Co 2.736 4.701 6.862
Co 2.736 6.547 3.496
Co 2.736 7.794 11.878
Co 2.736 9.042 3.496
P 0.912 1.018 10.762
P 0.912 4.179 10.762
P 0.912 5.819 7.417
P 0.912 7.794 4.135
P 0.912 7.794 10.641
P 0.912 9.770 7.417
P 2.736 0.623 4.630
P 2.736 2.598 1.406
P 2.736 2.598 7.912
P 2.736 4.573 4.630
P 2.736 6.214 1.285
P 2.736 9.375 1.285
```

For the energy of formation, the calculation gives -1.025 eV/atom.

=====

No. 2
# CoTcP2

An optimized crystal structure of CoTcP2 (PBEsol, the Alexandria database).

extended XYZ file:
```
4
Lattice="3.977 -1.483 0.000 3.977 1.483 0.000 -0.983 0.000 4.011" Properties=species:S:1:pos:R:3 pbc="T T T"
Co 0.000 0.000 0.000
Tc 5.734 0.000 1.671
P 1.250 0.000 3.680
P 3.476 0.000 2.285
```

The energy above the lowest structure with this stoichiometry is 0 meV per atom. For the energy of formation, the calculation gives -0.459 eV/atom.

=====

No. 3
# CoTcP2

An optimized crystal structure of CoTcP2 (PBEsol, the Alexandria database).

extended XYZ file:
```
4
Lattice="0.000 2.867 2.867 2.867 0.000 2.867 2.867 2.867 0.000" Properties=species:S:1:pos:R:3 pbc="T T T"
Co 0.000 0.000 0.000
Tc 2.867 2.867 2.867
P 1.434 1.434 1.434
P 4.301 4.301 4.301
```

The energy above the lowest structure with this stoichiometry is 224 meV per atom. For the energy of formation, the calculation gives -0.234 eV/atom.

=====

No. 4
# CoTcP2

An optimized crystal structure of CoTcP2 (PBEsol, the Alexandria database).

extended XYZ file:
```
4
Lattice="1.506 -2.346 0.000 1.506 2.346 0.000 0.000 0.000 7.019" Properties=species:S:1:pos:R:3 pbc="T T T"
Co 0.000 0.000 0.000
Tc 0.000 0.000 3.510
P 1.506 0.000 1.651
P 1.506 0.000 5.369
```

The energy above the lowest structure with this stoichiometry is 492 meV per atom. For the energy of formation, the calculation gives 0.033 eV/atom.

=====

No. 5
# CoTc2P

An optimized crystal structure of CoTc2P (PBEsol, the Alexandria database).

extended XYZ file:
```
4
Lattice="-1.420 2.062 4.106 1.420 -2.062 4.106 1.420 2.062 -4.106" Properties=species:S:1:pos:R:3 pbc="T T T"
Co 0.000 0.000 0.000
Tc 0.000 0.000 3.620
Tc 0.000 2.062 1.794
P 1.420 0.000 1.659
```

For the energy of formation, the calculation gives -0.359 eV/atom.

=====

No. 6
# Co2TeP

An optimized crystal structure of Co2TeP (PBEsol, the Alexandria database).

extended XYZ file:
```
4
Lattice="3.606 -1.594 0.000 3.606 1.594 0.000 -0.671 0.000 5.156" Properties=species:S:1:pos:R:3 pbc="T T T"
Co 0.000 0.000 0.000
Co 1.259 0.000 3.473
Te 5.109 0.000 1.382
P 3.379 0.000 3.760
```

The calculation puts the raw formation energy at -0.203 eV/atom.

=====

No. 7
# Co4TeP

An optimized crystal structure of Co4TeP (PBEsol, the Alexandria database).

extended XYZ file:
```
6
Lattice="0.000 3.392 3.392 3.392 0.000 3.392 3.392 3.392 0.000" Properties=species:S:1:pos:R:3 pbc="T T T"
Co 0.844 0.844 0.844
Co 2.548 2.548 0.844
Co 2.548 0.844 2.548
Co 0.844 2.548 2.548
Te 3.392 3.392 3.392
P 5.088 5.088 5.088
```

The calculation puts the raw formation energy at 0.444 eV/atom.

=====

No. 8
# CoTeP

An optimized crystal structure of CoTeP (PBEsol, the Alexandria database).

extended XYZ file:
```
3
Lattice="0.000 3.035 3.035 3.035 0.000 3.035 3.035 3.035 0.000" Properties=species:S:1:pos:R:3 pbc="T T T"
Co 0.000 0.000 0.000
Te 1.517 1.517 1.517
P 3.035 3.035 3.035
```

The calculation puts the raw formation energy at 0.822 eV/atom.

=====

No. 9
# ThCo2P2

An optimized crystal structure of ThCo2P2 (PBEsol, the Alexandria database).

extended XYZ file:
```
10
Lattice="3.980 0.000 0.000 0.000 3.980 0.000 0.000 0.000 9.022" Properties=species:S:1:pos:R:3 pbc="T T T"
Th 0.995 0.995 2.259
Th 2.985 2.985 6.763
Co 0.995 0.995 5.511
Co 0.995 2.985 0.000
Co 2.985 0.995 0.000
Co 2.985 2.985 3.510
P 0.995 0.995 7.842
P 0.995 2.985 4.511
P 2.985 0.995 4.511
P 2.985 2.985 1.180
```

For the energy of formation, the calculation gives -1.152 eV/atom.

=====

No. 10
# TiCo3P

An optimized crystal structure of TiCo3P (PBEsol, the Alexandria database).

extended XYZ file:
```
5
Lattice="4.174 0.000 0.000 0.000 4.174 0.000 0.000 0.000 4.174" Properties=species:S:1:pos:R:3 pbc="T T T"
Ti 0.000 0.000 0.000
Co 0.000 0.000 2.087
Co 0.000 2.087 0.000
Co 2.087 0.000 0.000
P 2.087 2.087 2.087
```

For the energy of formation, the calculation gives 1.287 eV/atom.

=====

No. 11
# Ti2TlCoP

An optimized crystal structure of Ti2TlCoP (PBEsol, the Alexandria database).

extended XYZ file:
```
5
Lattice="4.546 0.000 0.000 0.000 4.546 0.000 0.000 0.000 4.116" Properties=species:S:1:pos:R:3 pbc="T T T"
Ti 0.000 2.273 0.000
Ti 2.273 0.000 0.000
Tl 0.000 0.000 2.058
Co 2.273 2.273 2.058
P 2.273 2.273 0.000
```

For the energy of formation, the calculation gives -0.180 eV/atom.

=====

No. 12
# TlCoP

An optimized crystal structure of TlCoP (PBEsol, the Alexandria database).

extended XYZ file:
```
3
Lattice="0.000 3.089 3.089 3.089 0.000 3.089 3.089 3.089 0.000" Properties=species:S:1:pos:R:3 pbc="T T T"
Tl 0.000 0.000 0.000
Co 4.634 4.634 4.634
P 1.545 1.545 1.545
```

The energy above the lowest structure with this stoichiometry is 1071 meV per atom. For the energy of formation, the calculation gives 1.086 eV/atom.